(1)
A geometry-optimized NaEuHf2O6 structure. Source: Alexandria, functional PBE.

Computed properties:
The calculated total energy is -90.98 eV per formula unit. As for the raw formation energy: -2.973 eV per atom.

a = 5.8176 Å, b = 5.8176 Å, c = 5.8176 Å
α = 60.00°, β = 60.00°, γ = 60.00°
Last column: nearest neighbours and their distance in Å.
Atoms (fractional coordinates):
Na (0.5000, 0.5000, 0.5000)  12 O 2.91
Eu (0.0000, 0.0000, 0.0000)  12 O 2.91
Hf (0.2500, 0.2500, 0.2500)  6 O 2.06
Hf (0.7500, 0.7500, 0.7500)  6 O 2.06
O (0.5000, 0.0000, 0.0000)  2 Hf 2.06
O (0.0000, 0.5000, 0.5000)  2 Hf 2.06
O (0.5000, 0.0000, 0.5000)  2 Hf 2.06
O (0.0000, 0.5000, 0.0000)  2 Hf 2.06
O (0.0000, 0.0000, 0.5000)  2 Hf 2.06
O (0.5000, 0.5000, 0.0000)  2 Hf 2.06

***

(2)
A geometry-optimized NaEuHfSbO6 structure. Source: Alexandria, functional PBE.

Computed properties:
The calculated total energy is -80.01 eV per formula unit. As for the raw formation energy: -2.459 eV per atom.

a = 5.7292 Å, b = 5.7292 Å, c = 5.7292 Å
α = 60.00°, β = 60.00°, γ = 60.00°
Last column: nearest neighbours and their distance in Å.
Atoms (fractional coordinates):
Na (0.7500, 0.7500, 0.7500)  12 O 2.86
Eu (0.2500, 0.2500, 0.2500)  12 O 2.86
Hf (0.0000, 0.0000, 0.0000)  6 O 2.06
Sb (0.5000, 0.5000, 0.5000)  6 O 1.99
O (0.2545, 0.7455, 0.2545)  1 Sb 1.99, 1 Hf 2.06
O (0.7455, 0.2545, 0.7455)  1 Sb 1.99, 1 Hf 2.06
O (0.2545, 0.7455, 0.7455)  1 Sb 1.99, 1 Hf 2.06
O (0.7455, 0.2545, 0.2545)  1 Sb 1.99, 1 Hf 2.06
O (0.2545, 0.2545, 0.7455)  1 Sb 1.99, 1 Hf 2.06
O (0.7455, 0.7455, 0.2545)  1 Sb 1.99, 1 Hf 2.06

***

(3)
A geometry-optimized NaEuHfZrO6 structure. Source: Alexandria, functional PBE.

Computed properties:
The calculated total energy is -88.67 eV per formula unit. As for the raw formation energy: -2.882 eV per atom.

a = 5.8606 Å, b = 5.8606 Å, c = 5.8606 Å
α = 60.00°, β = 60.00°, γ = 60.00°
Last column: nearest neighbours and their distance in Å.
Atoms (fractional coordinates):
Na (0.2500, 0.2500, 0.2500)  12 O 2.93
Eu (0.7500, 0.7500, 0.7500)  12 O 2.93
Hf (0.0000, 0.0000, 0.0000)  6 O 2.06
Zr (0.5000, 0.5000, 0.5000)  6 O 2.09
O (0.2482, 0.7518, 0.2482)  1 Hf 2.06, 1 Zr 2.09
O (0.7518, 0.2482, 0.7518)  1 Hf 2.06, 1 Zr 2.09
O (0.2482, 0.7518, 0.7518)  1 Hf 2.06, 1 Zr 2.09
O (0.7518, 0.2482, 0.2482)  1 Hf 2.06, 1 Zr 2.09
O (0.2482, 0.2482, 0.7518)  1 Hf 2.06, 1 Zr 2.09
O (0.7518, 0.7518, 0.2482)  1 Hf 2.06, 1 Zr 2.09

***

(4)
A geometry-optimized Eu2HfNbO6 structure. Source: Alexandria, functional PBE.

Computed properties:
The calculated total energy is -100.10 eV per formula unit. As for the raw formation energy: -2.978 eV per atom.

a = 5.8091 Å, b = 5.8091 Å, c = 5.8091 Å
α = 60.00°, β = 60.00°, γ = 60.00°
Last column: nearest neighbours and their distance in Å.
Atoms (fractional coordinates):
Eu (0.7500, 0.7500, 0.7500)  12 O 2.90
Eu (0.2500, 0.2500, 0.2500)  12 O 2.90
Nb (0.5000, 0.5000, 0.5000)  6 O 2.04
Hf (0.0000, 0.0000, 0.0000)  6 O 2.07
O (0.2514, 0.7486, 0.7486)  1 Nb 2.04, 1 Hf 2.07
O (0.7486, 0.2514, 0.7486)  1 Nb 2.04, 1 Hf 2.07
O (0.2514, 0.7486, 0.2514)  1 Nb 2.04, 1 Hf 2.07
O (0.7486, 0.7486, 0.2514)  1 Nb 2.04, 1 Hf 2.07
O (0.7486, 0.2514, 0.2514)  1 Nb 2.04, 1 Hf 2.07
O (0.2514, 0.2514, 0.7486)  1 Nb 2.04, 1 Hf 2.07

***

(5)
A geometry-optimized Nd2EuHf structure. Source: Alexandria, functional PBE.

Computed properties:
Its formation energy is 0.22 eV/atom. The calculated total energy is -28.87 eV per formula unit.

a = 3.9828 Å, b = 3.9828 Å, c = 8.3070 Å
α = 90.00°, β = 90.00°, γ = 90.00°
Last column: nearest neighbours and their distance in Å.
Atoms (fractional coordinates):
Eu (0.5000, 0.5000, 0.5000)  8 Nd 3.74, 4 Eu 3.98, 2 Hf 4.15
Hf (0.5000, 0.5000, 0.0000)  8 Nd 3.29
Nd (0.0000, 0.0000, 0.7956)  4 Hf 3.29, 1 Nd 3.40
Nd (0.0000, 0.0000, 0.2044)  4 Hf 3.29, 1 Nd 3.40

***

(6)
A geometry-optimized NdEuHfTiO6 structure. Source: Alexandria, functional PBE.

Computed properties:
The calculated total energy is -93.91 eV per formula unit. As for the raw formation energy: -3.127 eV per atom.

a = 5.7010 Å, b = 5.7010 Å, c = 5.7010 Å
α = 60.00°, β = 60.00°, γ = 60.00°
Last column: nearest neighbours and their distance in Å.
Atoms (fractional coordinates):
Nd (0.7500, 0.7500, 0.7500)  12 O 2.85
Eu (0.2500, 0.2500, 0.2500)  12 O 2.85
Hf (0.0000, 0.0000, 0.0000)  6 O 2.05
Ti (0.5000, 0.5000, 0.5000)  6 O 1.98
O (0.2545, 0.7455, 0.2545)  1 Ti 1.98, 1 Hf 2.05
O (0.7455, 0.2545, 0.7455)  1 Ti 1.98, 1 Hf 2.05
O (0.2545, 0.7455, 0.7455)  1 Ti 1.98, 1 Hf 2.05
O (0.7455, 0.2545, 0.2545)  1 Ti 1.98, 1 Hf 2.05
O (0.2545, 0.2545, 0.7455)  1 Ti 1.98, 1 Hf 2.05
O (0.7455, 0.7455, 0.2545)  1 Ti 1.98, 1 Hf 2.05

***

(7)
A geometry-optimized EuHfNi2 structure. Source: Alexandria, functional PBE.

Computed properties:
Its formation energy is -0.30 eV/atom. The calculated total energy is -32.98 eV per formula unit.

a = 3.2670 Å, b = 3.2670 Å, c = 7.0084 Å
α = 90.00°, β = 90.00°, γ = 90.00°
Last column: nearest neighbours and their distance in Å.
Atoms (fractional coordinates):
Eu (0.5000, 0.5000, 0.5000)  8 Ni 3.16, 4 Eu 3.27, 2 Hf 3.50
Ni (0.0000, 0.0000, 0.8080)  4 Hf 2.67, 1 Ni 2.69
Ni (0.0000, 0.0000, 0.1920)  4 Hf 2.67, 1 Ni 2.69
Hf (0.5000, 0.5000, 0.0000)  8 Ni 2.67

***

(8)
A geometry-optimized EuHfNi4 structure. Source: Alexandria, functional PBE.

Computed properties:
Its formation energy is -0.25 eV/atom. The calculated total energy is -44.85 eV per formula unit.

a = 5.0049 Å, b = 5.0049 Å, c = 5.0049 Å
α = 60.00°, β = 60.00°, γ = 60.00°
Last column: nearest neighbours and their distance in Å.
Atoms (fractional coordinates):
Eu (0.2500, 0.2500, 0.2500)  12 Ni 2.94, 4 Hf 3.06
Ni (0.6259, 0.6259, 0.1223)  6 Ni 2.48-2.52
Ni (0.6259, 0.1223, 0.6259)  6 Ni 2.48-2.52
Ni (0.6259, 0.6259, 0.6259)  6 Ni 2.48-2.52
Ni (0.1223, 0.6259, 0.6259)  6 Ni 2.48-2.52
Hf (0.0000, 0.0000, 0.0000)  12 Ni 2.93, 4 Eu 3.06

***

(9)
A geometry-optimized Eu2Hf2O7 structure. Source: Alexandria, functional PBE.

Computed properties:
The calculated total energy is -110.70 eV per formula unit. As for the raw formation energy: -3.231 eV per atom.

a = 7.5447 Å, b = 7.5447 Å, c = 7.5447 Å
α = 60.00°, β = 60.00°, γ = 60.00°
Last column: nearest neighbours and their distance in Å.
Atoms (fractional coordinates):
Eu (0.6250, 0.1250, 0.1250)  2 O 2.31
Eu (0.1250, 0.6250, 0.1250)  2 O 2.31
Eu (0.1250, 0.1250, 0.6250)  2 O 2.31
Eu (0.1250, 0.1250, 0.1250)  2 O 2.31
Hf (0.1250, 0.6250, 0.6250)  6 O 2.08
Hf (0.6250, 0.1250, 0.6250)  6 O 2.08
Hf (0.6250, 0.6250, 0.1250)  6 O 2.08
Hf (0.6250, 0.6250, 0.6250)  6 O 2.08
O (0.2500, 0.2500, 0.2500)  4 Eu 2.31
O (0.0000, 0.0000, 0.0000)  4 Eu 2.31
O (0.7073, 0.7073, 0.2927)  2 Hf 2.08
O (0.2927, 0.2927, 0.7073)  2 Hf 2.08
O (0.7073, 0.2927, 0.7073)  2 Hf 2.08
O (0.2927, 0.7073, 0.2927)  2 Hf 2.08
O (0.2927, 0.7073, 0.7073)  2 Hf 2.08
O (0.7073, 0.2927, 0.2927)  2 Hf 2.08
O (0.5427, 0.5427, 0.9573)  2 Hf 2.08
O (0.9573, 0.9573, 0.5427)  2 Hf 2.08
O (0.5427, 0.9573, 0.5427)  2 Hf 2.08
O (0.9573, 0.5427, 0.9573)  2 Hf 2.08
O (0.9573, 0.5427, 0.5427)  2 Hf 2.08
O (0.5427, 0.9573, 0.9573)  2 Hf 2.08

***

(10)
A geometry-optimized EuHf2O structure. Source: Alexandria, functional PBE.

Computed properties:
The calculated total energy is -38.46 eV per formula unit. As for the raw formation energy: -0.831 eV per atom.

a = 3.3415 Å, b = 3.3415 Å, c = 8.8744 Å
α = 79.15°, β = 79.15°, γ = 60.00°
Last column: nearest neighbours and their distance in Å.
Atoms (fractional coordinates):
Eu (0.0000, 0.0000, 0.0000)  2 Hf 3.17, 6 Eu 3.34
Hf (0.1219, 0.1219, 0.6342)  3 O 2.25
Hf (0.8781, 0.8781, 0.3658)  3 O 2.25
O (0.5000, 0.5000, 0.5000)  6 Hf 2.25

***

(11)
A geometry-optimized Eu3Hf5O12 structure. Source: Alexandria, functional PBE.

Computed properties:
The calculated total energy is -202.95 eV per formula unit. As for the raw formation energy: -3.143 eV per atom.

a = 11.6801 Å, b = 11.6801 Å, c = 11.6801 Å
α = 109.47°, β = 109.47°, γ = 109.47°
Last column: nearest neighbours and their distance in Å.
Atoms (fractional coordinates):
Eu (0.7500, 0.3750, 0.1250)  8 O 2.54-2.83
Eu (0.8750, 0.7500, 0.1250)  8 O 2.54-2.83
Eu (0.3750, 0.7500, 0.6250)  8 O 2.54-2.83
Eu (0.2500, 0.1250, 0.3750)  8 O 2.54-2.83
Eu (0.8750, 0.1250, 0.2500)  8 O 2.54-2.83
Eu (0.3750, 0.6250, 0.2500)  8 O 2.54-2.83
Eu (0.6250, 0.3750, 0.7500)  8 O 2.54-2.83
Eu (0.1250, 0.8750, 0.7500)  8 O 2.54-2.83
Eu (0.7500, 0.8750, 0.6250)  8 O 2.54-2.83
Eu (0.6250, 0.2500, 0.3750)  8 O 2.54-2.83
Eu (0.1250, 0.2500, 0.8750)  8 O 2.54-2.83
Eu (0.2500, 0.6250, 0.8750)  8 O 2.54-2.83
Hf (0.1250, 0.3750, 0.2500)  4 O 1.99
Hf (0.0000, 0.5000, 0.0000)  6 O 2.11
Hf (0.0000, 0.0000, 0.0000)  6 O 2.11
Hf (0.3750, 0.2500, 0.1250)  4 O 1.99
Hf (0.5000, 0.0000, 0.5000)  6 O 2.11
Hf (0.5000, 0.5000, 0.0000)  6 O 2.11
Hf (0.1250, 0.7500, 0.3750)  4 O 1.99
Hf (0.7500, 0.1250, 0.8750)  4 O 1.99
Hf (0.7500, 0.6250, 0.3750)  4 O 1.99
Hf (0.3750, 0.1250, 0.7500)  4 O 1.99
Hf (0.6250, 0.8750, 0.2500)  4 O 1.99
Hf (0.5000, 0.5000, 0.5000)  6 O 2.11
Hf (0.5000, 0.0000, 0.0000)  6 O 2.11
Hf (0.0000, 0.0000, 0.5000)  6 O 2.11
Hf (0.2500, 0.3750, 0.6250)  4 O 1.99
Hf (0.2500, 0.8750, 0.1250)  4 O 1.99
Hf (0.0000, 0.5000, 0.5000)  6 O 2.11
Hf (0.8750, 0.2500, 0.6250)  4 O 1.99
Hf (0.6250, 0.7500, 0.8750)  4 O 1.99
Hf (0.8750, 0.6250, 0.7500)  4 O 1.99
O (0.6909, 0.1208, 0.0159)  2 Hf 1.99-2.11
O (0.3250, 0.5159, 0.3951)  2 Hf 1.99-2.11
O (0.9841, 0.3792, 0.3091)  2 Hf 1.99-2.11
O (0.5159, 0.1909, 0.1208)  2 Hf 1.99-2.11
O (0.5701, 0.6909, 0.6750)  2 Hf 1.99-2.11
O (0.9841, 0.6049, 0.1750)  2 Hf 1.99-2.11
O (0.3250, 0.8091, 0.4299)  2 Hf 1.99-2.11
O (0.1049, 0.9299, 0.1208)  2 Hf 1.99-2.11
O (0.6049, 0.9841, 0.6750)  2 Hf 1.99-2.11
O (0.6909, 0.5701, 0.1750)  2 Hf 1.99-2.11
O (0.8091, 0.4841, 0.3792)  2 Hf 1.99-2.11
O (0.8250, 0.8951, 0.0159)  2 Hf 1.99-2.11
O (0.1208, 0.6909, 0.5159)  2 Hf 1.99-2.11
O (0.3792, 0.3951, 0.0701)  2 Hf 1.99-2.11
O (0.0701, 0.8951, 0.3792)  2 Hf 1.99-2.11
O (0.4299, 0.1208, 0.6049)  2 Hf 1.99-2.11
O (0.0701, 0.1750, 0.1909)  2 Hf 1.99-2.11
O (0.4841, 0.6750, 0.1049)  2 Hf 1.99-2.11
O (0.8250, 0.9299, 0.3091)  2 Hf 1.99-2.11
O (0.1208, 0.4299, 0.1049)  2 Hf 1.99-2.11
O (0.3792, 0.9841, 0.8091)  2 Hf 1.99-2.11
O (0.6049, 0.6208, 0.4299)  2 Hf 1.99-2.11
O (0.8951, 0.8250, 0.5159)  2 Hf 1.99-2.11
O (0.8091, 0.3250, 0.9299)  2 Hf 1.99-2.11
O (0.3951, 0.3792, 0.5701)  2 Hf 1.99-2.11
O (0.1049, 0.1750, 0.4841)  2 Hf 1.99-2.11
O (0.1909, 0.6750, 0.0701)  2 Hf 1.99-2.11
O (0.1750, 0.0701, 0.6909)  2 Hf 1.99-2.11
O (0.6208, 0.0159, 0.1909)  2 Hf 1.99-2.11
O (0.8792, 0.5701, 0.8951)  2 Hf 1.99-2.11
O (0.5159, 0.3250, 0.8951)  2 Hf 1.99-2.11
O (0.5701, 0.8792, 0.3951)  2 Hf 1.99-2.11
O (0.9299, 0.8250, 0.8091)  2 Hf 1.99-2.11
O (0.9299, 0.1049, 0.6208)  2 Hf 1.99-2.11
O (0.8792, 0.3091, 0.4841)  2 Hf 1.99-2.11
O (0.1750, 0.1049, 0.9841)  2 Hf 1.99-2.11
O (0.6208, 0.6049, 0.9299)  2 Hf 1.99-2.11
O (0.3951, 0.0159, 0.3250)  2 Hf 1.99-2.11
O (0.3091, 0.4299, 0.8250)  2 Hf 1.99-2.11
O (0.1909, 0.5159, 0.6208)  2 Hf 1.99-2.11
O (0.8951, 0.0701, 0.8792)  2 Hf 1.99-2.11
O (0.6750, 0.1909, 0.5701)  2 Hf 1.99-2.11
O (0.4841, 0.8091, 0.8792)  2 Hf 1.99-2.11
O (0.0159, 0.3951, 0.8250)  2 Hf 1.99-2.11
O (0.4299, 0.3091, 0.3250)  2 Hf 1.99-2.11
O (0.0159, 0.6208, 0.6909)  2 Hf 1.99-2.11
O (0.6750, 0.4841, 0.6049)  2 Hf 1.99-2.11
O (0.3091, 0.8792, 0.9841)  2 Hf 1.99-2.11

***

no.,total moment (μB per atom)
1,0.60
2,0.70
3,0.60
4,1.36
5,1.84
6,0.67
7,1.78
8,1.17
9,1.09
10,1.85
11,1.11